## Ac5Nd2Y (GGA-PBE)

Data for a relaxed Ac5Nd2Y crystal.

formation enthalpy at 0 K = 26 kJ/mol of formula units
space-group type = Pbam (55)

Lattice parameters (Å, degrees): 5.5380 7.6546 15.3646 90.00 90.00 90.00
Fractional positions:
Ac 0.5000 0.2606 0.1210
Ac 0.5000 0.7394 0.8790
Ac 0.5000 0.7606 0.3790
Ac 0.5000 0.2394 0.6210
Ac 0.0000 0.9873 0.7459
Ac 0.0000 0.0127 0.2541
Ac 0.0000 0.4873 0.7541
Ac 0.0000 0.5127 0.2459
Ac 0.0000 0.5000 0.5000
Ac 0.0000 0.0000 0.0000
Nd 0.5000 0.2577 0.3759
Nd 0.5000 0.7423 0.6241
Nd 0.5000 0.2423 0.8759
Nd 0.5000 0.7577 0.1241
Y 0.0000 0.0000 0.5000
Y 0.0000 0.5000 0.0000

## RbCdI2Br (GGA-PBE)

Data for a relaxed RbCdI2Br crystal.

formation energy from raw total energies = -1.035 eV/atom
ΔE to the lowest computed polymorph = 0 meV per atom
space-group type = P2_1/m (11)

Lattice parameters (Å, degrees): 4.7557 9.5793 10.3171 101.42 90.00 90.00
Fractional positions:
Rb 0.2500 0.6589 0.2354
Rb 0.7500 0.3411 0.7646
Cd 0.2500 0.7899 0.7296
Cd 0.7500 0.2101 0.2704
I 0.7500 0.7084 0.5615
I 0.7500 0.9254 0.1629
I 0.2500 0.2916 0.4385
I 0.2500 0.0746 0.8371
Br 0.2500 0.5960 0.8767
Br 0.7500 0.4040 0.1233

no.,size of the total moment (Bohr magnetons per cell)
1,0.00
2,0.00